Entry 1:
Below is a PBEsol-optimized structure of Sm7Ti4Se12O6, with properties calculated at the SCAN level.

Cell: 13.999 13.999 11.021 Å, 90.15 90.15 15.43°
Positions (direct):
Sm: 0.000 0.000 0.000
Sm: 0.148 0.148 0.153
Sm: 0.379 0.379 0.960
Sm: 0.509 0.509 0.496
Sm: 0.622 0.622 0.776
Sm: 0.751 0.751 0.305
Sm: 0.888 0.888 0.464
Ti: 0.161 0.161 0.462
Ti: 0.444 0.444 0.231
Ti: 0.739 0.739 0.993
Ti: 0.946 0.946 0.730
Se: 0.010 0.010 0.270
Se: 0.086 0.086 0.602
Se: 0.189 0.189 0.885
Se: 0.286 0.286 0.110
Se: 0.309 0.309 0.442
Se: 0.385 0.385 0.684
Se: 0.510 0.510 0.779
Se: 0.584 0.584 0.020
Se: 0.608 0.608 0.351
Se: 0.701 0.701 0.579
Se: 0.807 0.807 0.858
Se: 0.880 0.880 0.190
O: 0.200 0.200 0.327
O: 0.431 0.431 0.399
O: 0.460 0.460 0.062
O: 0.696 0.696 0.134
O: 0.926 0.926 0.895
O: 0.968 0.968 0.563

Results
* space group: Cm (8)
* formation energy from raw total energies: -2432 meV per atom

***

Entry 2:
Below is a PBEsol-optimized structure of Nb3HAu, with properties calculated at the SCAN level.

Cell: 4.144 4.144 4.144 Å, 90.00 90.00 90.00°
Positions (direct):
Nb: 0.000 0.000 0.500
Nb: 0.000 0.500 0.000
Nb: 0.500 0.000 0.000
H: 0.000 0.000 0.000
Au: 0.500 0.500 0.500

Results
* total DFT energy (no corrections): -173.14 eV/cell
* space group: Pm-3m (221)

***

Entry 3:
Below is a PBEsol-optimized structure of K2HgBr, with properties calculated at the SCAN level.

Cell: 3.952 3.952 8.250 Å, 90.00 90.00 90.00°
Positions (direct):
K: 0.000 0.000 0.230
K: 0.000 0.000 0.770
Hg: 0.500 0.500 0.500
Br: 0.500 0.500 0.000

Results
* offset from the most stable computed form: 0 meV/atom
* space group: P4/mmm (123)
* formation energy from raw total energies: -1055 meV per atom

***

Entry 4:
Below is a PBEsol-optimized structure of LiZrPbC2, with properties calculated at the SCAN level.

Cell: 4.333 4.333 5.637 Å, 90.00 90.00 90.00°
Positions (direct):
Li: 0.000 0.000 0.000
Zr: 0.500 0.500 0.500
Pb: 0.500 0.500 0.000
C: 0.000 0.500 0.500
C: 0.500 0.000 0.500

Results
* space group: P4/mmm (123)
* formation enthalpy at 0 K: 1347.5 meV/atom

***

Entry 5:
Below is a PBEsol-optimized structure of Mn2SiMo, with properties calculated at the SCAN level.

Cell: 2.916 4.054 8.053 Å, 90.00 90.00 90.00°
Positions (direct):
Mn: 0.000 0.000 0.243
Mn: 0.000 0.000 0.757
Mn: 0.500 0.500 0.257
Mn: 0.500 0.500 0.743
Si: 0.000 0.500 0.500
Si: 0.500 0.000 0.000
Mo: 0.000 0.500 0.000
Mo: 0.500 0.000 0.500

Results
* space group: Immm (71)
* formation energy from raw total energies: -28 meV per atom

***

Entry 6:
Below is a PBEsol-optimized structure of Y2Co, with properties calculated at the SCAN level.

Cell: 3.537 11.895 6.485 Å, 90.00 90.00 90.00°
Positions (direct):
Y: 0.000 0.013 0.000
Y: 0.000 0.277 0.811
Y: 0.000 0.723 0.311
Y: 0.000 0.987 0.500
Y: 0.500 0.223 0.311
Y: 0.500 0.487 0.500
Y: 0.500 0.513 0.000
Y: 0.500 0.777 0.811
Co: 0.000 0.384 0.219
Co: 0.000 0.616 0.719
Co: 0.500 0.116 0.719
Co: 0.500 0.884 0.219

Results
* space group: Cmc2_1 (36)
* formation enthalpy at 0 K: -35.5 meV/atom

***

Entry 7:
Below is a PBEsol-optimized structure of CrCu2Au, with properties calculated at the SCAN level.

Cell: 6.017 6.017 6.017 Å, 90.00 90.00 90.00°
Positions (direct):
Cr: 0.000 0.000 0.000
Cr: 0.000 0.500 0.500
Cr: 0.500 0.000 0.500
Cr: 0.500 0.500 0.000
Cu: 0.000 0.000 0.500
Cu: 0.000 0.500 0.000
Cu: 0.250 0.250 0.250
Cu: 0.250 0.750 0.750
Cu: 0.500 0.000 0.000
Cu: 0.500 0.500 0.500
Cu: 0.750 0.250 0.750
Cu: 0.750 0.750 0.250
Au: 0.250 0.250 0.750
Au: 0.250 0.750 0.250
Au: 0.750 0.250 0.250
Au: 0.750 0.750 0.750

Results
* space group: F-43m (216)
* formation enthalpy at 0 K: 29.5 meV/atom

***

Entry 8:
Below is a PBEsol-optimized structure of NbCrGe, with properties calculated at the SCAN level.

Cell: 6.695 6.695 3.331 Å, 90.00 90.00 120.00°
Positions (direct):
Nb: 0.000 0.403 0.000
Nb: 0.403 0.000 0.000
Nb: 0.597 0.597 0.000
Cr: 0.000 0.744 0.500
Cr: 0.256 0.256 0.500
Cr: 0.744 0.000 0.500
Ge: 0.000 0.000 0.000
Ge: 0.333 0.667 0.500
Ge: 0.667 0.333 0.500

Results
* space group: P-62m (189)
* formation enthalpy at 0 K: -352.2 meV/atom